Record 1
Density functional theory data (PBE) for an optimized crystal structure of Sm4CuSe2S.

Cell: 5.8522 5.8522 11.6041 Å, 90.00 90.00 90.00°
Space group I-4m2 (No. 119)
One atom of each set of equivalent atoms:
Sm: 0.0000 0.0000 0.2449 x4
Sm: 0.0000 0.5000 0.5013 x4
Cu: 0.0000 0.5000 0.7500 x2
Se: 0.0000 0.0000 0.5000 x2
Se: 0.0000 0.5000 0.2500 x2
S: 0.0000 0.0000 0.0000 x2

Summary:
Uncorrected formation energy in kJ/mol of atoms: -139.0
V in Å³/atom: 24.84

=====

Record 2
Density functional theory data (PBE) for an optimized crystal structure of Cs8KNa4.

Cell: 15.5788 15.5788 8.9972 Å, 90.00 90.00 90.00°
Space group I4/mmm (No. 139)
One atom of each set of equivalent atoms:
Cs: 0.0000 0.2143 0.0000 x8
Cs: 0.0000 0.3223 0.5000 x8
K: 0.0000 0.0000 0.5000 x2
Na: 0.2500 0.2500 0.2500 x8

Summary:
ΔE_f in eV per atom: 0.042
V in Å³/atom: 83.99

=====

Record 3
Density functional theory data (PBE) for an optimized crystal structure of Ba2CuSi3Pd12.

Cell: 8.4459 8.4459 18.4620 Å, 90.00 90.00 120.00°
Space group R-3m (No. 166, hexagonal axes)
One atom of each set of equivalent atoms:
Ba: 0.0000 0.0000 0.1164 x6
Cu: 0.0000 0.0000 0.5000 x3
Si: 0.0000 0.5000 0.0000 x9
Pd: 0.0152 0.5076 0.1231 x18
Pd: 0.0462 0.5231 0.3632 x18

Summary:
Uncorrected formation energy in kJ/mol of atoms: -25.6
V in Å³/atom: 21.12

=====

Record 4
Density functional theory data (PBE) for an optimized crystal structure of CdNiAu.

Cell: 6.0769 6.0769 6.0769 Å, 90.00 90.00 90.00°
Space group F-43m (No. 216)
One atom of each set of equivalent atoms:
Cd: 0.0000 0.0000 0.0000 x4
Ni: 0.2500 0.2500 0.7500 x4
Au: 0.0000 0.0000 0.5000 x4

Summary:
Offset from the most stable computed form in meV per atom: 117
ΔE_f in eV per atom: 0.111
V in Å³/atom: 18.70

=====

Number 1: raw total energy -5.700 eV/atom, DOS(E_F) 0.90 states/eV/atom. Number 2: raw total energy -0.974 eV/atom, DOS(E_F) 0.84 states/eV/atom. Number 3: raw total energy -5.072 eV/atom, DOS(E_F) 0.36 states/eV/atom. Number 4: raw total energy -3.213 eV/atom, DOS(E_F) 0.63 states/eV/atom.